Entry from the Alexandria database: Be3FeO after structural relaxation (PBE+U).

abc: 4.183 4.183 4.183
angles: 90.00 90.00 90.00
Space group Pm-3m (No. 221)
Unique sites:
Be 0.000 0.000 0.500 (multiplicity 3)
Fe 0.000 0.000 0.000 (multiplicity 1)
O 0.500 0.500 0.500 (multiplicity 1)

Size of the total moment (Bohr magnetons per cell): 3.74
Energy relative to the lowest polymorph listed for this composition (meV/atom): 1402
DOS(E_F) (states/eV/atom): 0.51
E (eV per atom): -2.885